[1]
Here is crystalline ZrScAu4 at its relaxed geometry from the Alexandria database. Energies are from PBE-GGA.

Values from the calculation:
SG   P4/mmm, No. 123
Mass density   13.47 g/cm³
Total DFT energy (no corrections)   -5.3668 eV/atom

Unit cell a=3.595 b=3.595 c=8.812 alpha=90.00 beta=90.00 gamma=90.00
Fractional coordinates of all 6 atoms:
Zr  0.000  0.000  0.000
Sc  0.500  0.500  0.500
Au  0.500  0.500  0.833
Au  0.500  0.500  0.167
Au  0.000  0.000  0.664
Au  0.000  0.000  0.336

***

[2]
Here is crystalline Dy4NiGe8 at its relaxed geometry from the Alexandria database. Energies are from PBE-GGA.

Values from the calculation:
SG   Pmm2, No. 25
Mass density   8.09 g/cm³
Total DFT energy (no corrections)   -5.3546 eV/atom

Unit cell a=3.993 b=4.099 c=16.177 alpha=90.00 beta=90.00 gamma=90.00
Fractional coordinates of all 13 atoms:
Dy  0.000  0.000  0.103
Dy  0.000  0.500  0.606
Dy  0.500  0.500  0.396
Dy  0.500  0.000  0.895
Ni  0.000  0.000  0.315
Ge  0.000  0.000  0.459
Ge  0.000  0.500  0.944
Ge  0.500  0.500  0.047
Ge  0.500  0.000  0.559
Ge  0.000  0.500  0.240
Ge  0.000  0.000  0.748
Ge  0.500  0.000  0.239
Ge  0.500  0.500  0.754

***

[3]
Here is crystalline MgTlTc2 at its relaxed geometry from the Alexandria database. Energies are from PBE-GGA.

Values from the calculation:
SG   Cm, No. 8
Mass density   9.84 g/cm³
Total DFT energy (no corrections)   -5.7360 eV/atom

Unit cell a=5.193 b=5.193 c=4.831 alpha=71.26 beta=71.26 gamma=35.76
Fractional coordinates of all 4 atoms:
Mg  0.263  0.263  0.227
Tc  0.026  0.026  0.989
Tc  0.724  0.724  0.764
Tl  0.487  0.487  0.520

***

[4]
Here is crystalline InMo2Os2 at its relaxed geometry from the Alexandria database. Energies are from PBE-GGA.

Values from the calculation:
SG   P4/mbm, No. 127
Mass density   13.33 g/cm³
Total DFT energy (no corrections)   -9.0551 eV/atom

Unit cell a=7.741 b=7.741 c=2.858 alpha=90.00 beta=90.00 gamma=90.00
Fractional coordinates of all 10 atoms:
Mo  0.351  0.851  0.000
Mo  0.851  0.649  0.000
Mo  0.649  0.149  0.000
Mo  0.149  0.351  0.000
Os  0.139  0.639  0.500
Os  0.639  0.861  0.500
Os  0.861  0.361  0.500
Os  0.361  0.139  0.500
In  0.000  0.000  0.000
In  0.500  0.500  0.000

***

[5]
Here is crystalline KBeP at its relaxed geometry from the Alexandria database. Energies are from PBE-GGA.

Values from the calculation:
SG   P4/nmm, No. 129
Mass density   1.68 g/cm³
Total DFT energy (no corrections)   -3.8018 eV/atom

Unit cell a=3.790 b=3.790 c=10.914 alpha=90.00 beta=90.00 gamma=90.00
Fractional coordinates of all 6 atoms:
K  0.000  0.500  0.263
K  0.500  0.000  0.737
Be  0.000  0.000  0.000
Be  0.500  0.500  0.000
P  0.000  0.500  0.888
P  0.500  0.000  0.112

***

Number 1: calculated volume 18.983 A^3/atom. Number 2: calculated volume 20.368 A^3/atom. Number 3: calculated volume 17.914 A^3/atom. Number 4: calculated volume 17.126 A^3/atom. Number 5: calculated volume 26.130 A^3/atom.